Record 1
# meta-GGA SCAN LiSb5, PBEsol geometry
data_LiSb5
_chemical_formula_sum 'Li1 Sb5'
_symmetry_space_group_name_H-M 'P 1'
_symmetry_Int_Tables_number 1
_cell_length_a 9.3860
_cell_length_b 9.3860
_cell_length_c 4.0403
_cell_angle_alpha 90.00
_cell_angle_beta 90.00
_cell_angle_gamma 153.92
loop_
_symmetry_equiv_pos_as_xyz
'x,y,z'
loop_
_atom_site_label
_atom_site_type_symbol
_atom_site_fract_x
_atom_site_fract_y
_atom_site_fract_z
Li1 Li 0.0000 0.0000 0.0000
Sb1 Sb 0.1882 0.8118 0.5000
Sb2 Sb 0.3719 0.6281 0.0000
Sb3 Sb 0.5000 0.5000 0.5000
Sb4 Sb 0.6281 0.3719 0.0000
Sb5 Sb 0.8118 0.1882 0.5000
# DOS at the Fermi energy ... 2.81 states/eV/cell
# Symmetry ... Cmmm, No. 65
# Final energy ... -31.441 eV/atom
# E_form (uncorrected) ... 5 kJ/mol of formula units
# Energy above the lowest structure with this stoichiometry ... 0 meV/atom


Record 2
# meta-GGA SCAN CaHgPb2, PBEsol geometry
data_CaHgPb2
_chemical_formula_sum 'Ca1 Hg1 Pb2'
_symmetry_space_group_name_H-M 'P 1'
_symmetry_Int_Tables_number 1
_cell_length_a 4.0263
_cell_length_b 4.0263
_cell_length_c 6.8032
_cell_angle_alpha 90.00
_cell_angle_beta 90.00
_cell_angle_gamma 90.00
loop_
_symmetry_equiv_pos_as_xyz
'x,y,z'
loop_
_atom_site_label
_atom_site_type_symbol
_atom_site_fract_x
_atom_site_fract_y
_atom_site_fract_z
Ca1 Ca 0.0000 0.0000 0.0000
Hg1 Hg 0.0000 0.0000 0.5000
Pb1 Pb 0.5000 0.5000 0.2700
Pb2 Pb 0.5000 0.5000 0.7300
# DOS at the Fermi energy ... 1.94 states/eV/cell
# Symmetry ... P4/mmm, No. 123
# Final energy ... -57.645 eV/atom
# Formation enthalpy at 0 K ... -0.30 eV per atom


Record 3
# meta-GGA SCAN Tl2OsBr, PBEsol geometry
data_Tl2OsBr
_chemical_formula_sum 'Tl2 Os1 Br1'
_symmetry_space_group_name_H-M 'P 1'
_symmetry_Int_Tables_number 1
_cell_length_a 4.9309
_cell_length_b 4.9309
_cell_length_c 4.9309
_cell_angle_alpha 60.00
_cell_angle_beta 60.00
_cell_angle_gamma 60.00
loop_
_symmetry_equiv_pos_as_xyz
'x,y,z'
loop_
_atom_site_label
_atom_site_type_symbol
_atom_site_fract_x
_atom_site_fract_y
_atom_site_fract_z
Tl1 Tl 0.0000 0.0000 0.0000
Tl2 Tl 0.2500 0.2500 0.2500
Os1 Os 0.7500 0.7500 0.7500
Br1 Br 0.5000 0.5000 0.5000
# DOS at the Fermi energy ... 5.06 states/eV/cell
# Symmetry ... F-43m, No. 216
# Final energy ... -57.818 eV/atom
# E_form (uncorrected) ... 461 kJ/mol of formula units


Record 4
# meta-GGA SCAN CdGa2Br, PBEsol geometry
data_CdGa2Br
_chemical_formula_sum 'Cd1 Ga2 Br1'
_symmetry_space_group_name_H-M 'P 1'
_symmetry_Int_Tables_number 1
_cell_length_a 5.0378
_cell_length_b 5.0378
_cell_length_c 5.0378
_cell_angle_alpha 60.00
_cell_angle_beta 60.00
_cell_angle_gamma 60.00
loop_
_symmetry_equiv_pos_as_xyz
'x,y,z'
loop_
_atom_site_label
_atom_site_type_symbol
_atom_site_fract_x
_atom_site_fract_y
_atom_site_fract_z
Cd1 Cd 0.0000 0.0000 0.0000
Ga1 Ga 0.2500 0.2500 0.2500
Ga2 Ga 0.7500 0.7500 0.7500
Br1 Br 0.5000 0.5000 0.5000
# DOS at the Fermi energy ... 2.66 states/eV/cell
# Symmetry ... Fm-3m, No. 225
# Final energy ... -20.454 eV/atom
# E_form (uncorrected) ... 72 kJ/mol of formula units


Record 5
# meta-GGA SCAN Cd2CuCl, PBEsol geometry
data_Cd2CuCl
_chemical_formula_sum 'Cd2 Cu1 Cl1'
_symmetry_space_group_name_H-M 'P 1'
_symmetry_Int_Tables_number 1
_cell_length_a 5.6907
_cell_length_b 5.6907
_cell_length_c 5.6907
_cell_angle_alpha 139.57
_cell_angle_beta 139.57
_cell_angle_gamma 58.51
loop_
_symmetry_equiv_pos_as_xyz
'x,y,z'
loop_
_atom_site_label
_atom_site_type_symbol
_atom_site_fract_x
_atom_site_fract_y
_atom_site_fract_z
Cd1 Cd 0.2500 0.7500 0.5000
Cd2 Cd 0.7500 0.2500 0.5000
Cu1 Cu 0.0000 0.0000 0.0000
Cl1 Cl 0.5000 0.5000 0.0000
# DOS at the Fermi energy ... 0.84 states/eV/cell
# Symmetry ... I4/mmm, No. 139
# Final energy ... -20.867 eV/atom
# E_form (uncorrected) ... 52 kJ/mol of formula units
# Energy above the lowest structure with this stoichiometry ... 182 meV/atom


Record 6
# meta-GGA SCAN CaNiP2O7, PBEsol geometry
data_CaNiP2O7
_chemical_formula_sum 'Ca2 Ni2 P4 O14'
_symmetry_space_group_name_H-M 'P 1'
_symmetry_Int_Tables_number 1
_cell_length_a 6.3547
_cell_length_b 6.4860
_cell_length_c 6.5689
_cell_angle_alpha 66.27
_cell_angle_beta 87.91
_cell_angle_gamma 82.61
loop_
_symmetry_equiv_pos_as_xyz
'x,y,z'
loop_
_atom_site_label
_atom_site_type_symbol
_atom_site_fract_x
_atom_site_fract_y
_atom_site_fract_z
Ca1 Ca 0.1388 0.2342 0.3193
Ca2 Ca 0.8612 0.7658 0.6807
Ni1 Ni 0.3538 0.4001 0.7197
Ni2 Ni 0.6462 0.5999 0.2803
P1 P 0.1412 0.7320 0.2501
P2 P 0.3749 0.8590 0.8299
P3 P 0.6251 0.1410 0.1701
P4 P 0.8588 0.2680 0.7499
O1 O 0.0321 0.3956 0.7851
O2 O 0.0644 0.8869 0.3637
O3 O 0.2211 0.8955 0.0170
O4 O 0.2723 0.7034 0.7523
O5 O 0.3319 0.5494 0.3672
O6 O 0.3789 0.1023 0.6552
O7 O 0.4070 0.2477 0.0570
O8 O 0.5930 0.7523 0.9430
O9 O 0.6211 0.8977 0.3448
O10 O 0.6681 0.4506 0.6328
O11 O 0.7277 0.2966 0.2477
O12 O 0.7789 0.1045 0.9830
O13 O 0.9356 0.1131 0.6363
O14 O 0.9679 0.6044 0.2149
# DOS at the Fermi energy ... 0.00 states/eV/cell
# Symmetry ... P-1, No. 2
# Final energy ... -10.791 eV/atom
# E_form (uncorrected) ... -2745 kJ/mol of formula units
# Energy above the lowest structure with this stoichiometry ... 0 meV/atom


Record 7
# meta-GGA SCAN BeCrO3, PBEsol geometry
data_BeCrO3
_chemical_formula_sum 'Be1 Cr1 O3'
_symmetry_space_group_name_H-M 'P 1'
_symmetry_Int_Tables_number 1
_cell_length_a 3.6233
_cell_length_b 3.6233
_cell_length_c 3.6233
_cell_angle_alpha 90.00
_cell_angle_beta 90.00
_cell_angle_gamma 90.00
loop_
_symmetry_equiv_pos_as_xyz
'x,y,z'
loop_
_atom_site_label
_atom_site_type_symbol
_atom_site_fract_x
_atom_site_fract_y
_atom_site_fract_z
Be1 Be 0.0000 0.0000 0.0000
Cr1 Cr 0.5000 0.5000 0.5000
O1 O 0.0000 0.5000 0.5000
O2 O 0.5000 0.0000 0.5000
O3 O 0.5000 0.5000 0.0000
# DOS at the Fermi energy ... 3.51 states/eV/cell
# Symmetry ... Pm-3m, No. 221
# Final energy ... -9.447 eV/atom
# E_form (uncorrected) ... -560 kJ/mol of formula units


Record 8
# meta-GGA SCAN CaWCl3, PBEsol geometry
data_CaWCl3
_chemical_formula_sum 'Ca1 W1 Cl3'
_symmetry_space_group_name_H-M 'P 1'
_symmetry_Int_Tables_number 1
_cell_length_a 4.7972
_cell_length_b 4.7972
_cell_length_c 4.7972
_cell_angle_alpha 90.00
_cell_angle_beta 90.00
_cell_angle_gamma 90.00
loop_
_symmetry_equiv_pos_as_xyz
'x,y,z'
loop_
_atom_site_label
_atom_site_type_symbol
_atom_site_fract_x
_atom_site_fract_y
_atom_site_fract_z
Ca1 Ca 0.0000 0.0000 0.0000
W1 W 0.5000 0.5000 0.5000
Cl1 Cl 0.0000 0.5000 0.5000
Cl2 Cl 0.5000 0.0000 0.5000
Cl3 Cl 0.5000 0.5000 0.0000
# DOS at the Fermi energy ... 3.93 states/eV/cell
# Symmetry ... Pm-3m, No. 221
# Final energy ... -20.949 eV/atom
# E_form (uncorrected) ... -141 kJ/mol of formula units